# KBaTl2Ir

A relaxed structure of KBaTl2Ir (PBE-GGA, Alexandria).

Lattice parameters (Å, degrees): 5.445 5.445 5.936 90.00 90.00 90.00
Space group P4/mmm (No. 123)
Asymmetric unit:
K 0.000 0.000 0.000 x1
Ba 0.500 0.500 0.000 x1
Tl 0.000 0.500 0.500 x2
Ir 0.500 0.500 0.500 x1

The formation enthalpy at 0 K is -0.2 eV per formula unit. The calculation puts the density of states at the Fermi level at 0.6524 states/eV/atom. The calculation puts the density at 7.33 g/cm³.